(1)
First-principles (PBE-GGA) data for HoHfZnRu after structural relaxation, as listed in Alexandria.

a = 4.7629 Å, b = 4.7629 Å, c = 4.7629 Å
α = 60.00°, β = 60.00°, γ = 60.00°
With the nearest neighbours (Å) after each atom.
Atoms (fractional coordinates):
Ru: 0.7500 0.7500 0.7500  4 Hf 2.92, 4 Ho 2.92
Zn: 0.2500 0.2500 0.2500  4 Hf 2.92, 4 Ho 2.92
Hf: 0.0000 0.0000 0.0000  4 Ru 2.92, 4 Zn 2.92
Ho: 0.5000 0.5000 0.5000  4 Zn 2.92, 4 Ru 2.92

Properties
As for the space group: F-43m (216). Its energy relative to the elements is -0.355 eV per atom.

(2)
First-principles (PBE-GGA) data for Ho2HfS after structural relaxation, as listed in Alexandria.

a = 3.5103 Å, b = 3.5103 Å, c = 9.8318 Å
α = 79.72°, β = 79.72°, γ = 60.00°
With the nearest neighbours (Å) after each atom.
Atoms (fractional coordinates):
S: 0.5000 0.5000 0.5000  6 Ho 2.67
Hf: 0.0000 0.0000 0.0000  2 Ho 3.08
Ho: 0.1067 0.1067 0.6799  3 S 2.67
Ho: 0.8933 0.8933 0.3201  3 S 2.67

Properties
Its formation energy from raw total energies is -1.9 eV per formula unit. As for the space group: R-3m (166).

| no. | D(E_F) (states/eV/cell) |
| --- | --- |
| 1 | 2.40 |
| 2 | 3.99 |